a.
# BaMo2Cl

BaMo2Cl after structural relaxation (PBE-GGA, Alexandria via LeMat-Bulk).

The structure in CIF format:
```
data_BaMo2Cl
_symmetry_space_group_name_H-M 'C 1 m 1'
_symmetry_Int_Tables_number 8
_cell_length_a 8.194
_cell_length_b 3.741
_cell_length_c 7.544
_cell_angle_alpha 90.00
_cell_angle_beta 109.09
_cell_angle_gamma 90.00
loop_
_symmetry_equiv_pos_as_xyz
'x,y,z'
'x,-y,z'
'x+1/2,y+1/2,z'
'x+1/2,-y+1/2,z'
loop_
_atom_site_label
_atom_site_fract_x
_atom_site_fract_y
_atom_site_fract_z
Ba1 0.000 0.000 0.000
Mo1 0.282 0.500 0.382
Mo2 0.456 0.000 0.389
Cl1 0.216 0.000 0.724
```

b.
# BaMo2Cl

BaMo2Cl after structural relaxation (PBE-GGA, Alexandria via LeMat-Bulk).

The structure in CIF format:
```
data_BaMo2Cl
_symmetry_space_group_name_H-M 'I m m 2'
_symmetry_Int_Tables_number 44
_cell_length_a 3.386
_cell_length_b 6.472
_cell_length_c 9.774
_cell_angle_alpha 90.00
_cell_angle_beta 90.00
_cell_angle_gamma 90.00
loop_
_symmetry_equiv_pos_as_xyz
'x,y,z'
'-x,-y,z'
'-x,y,z'
'x,-y,z'
'x+1/2,y+1/2,z+1/2'
'-x+1/2,-y+1/2,z+1/2'
'-x+1/2,y+1/2,z+1/2'
'x+1/2,-y+1/2,z+1/2'
loop_
_atom_site_label
_atom_site_fract_x
_atom_site_fract_y
_atom_site_fract_z
Ba1 0.000 0.000 0.000
Mo1 0.000 0.000 0.495
Mo2 0.000 0.500 0.163
Cl1 0.000 0.500 0.776
```

Verdict on stability: b comes out at the bottom.

a.
# BaMo2Cl

BaMo2Cl after structural relaxation (PBE-GGA, Alexandria via LeMat-Bulk).

The structure in CIF format:
```
data_BaMo2Cl
_symmetry_space_group_name_H-M 'P 4/m m m'
_symmetry_Int_Tables_number 123
_symmetry_space_group_name_Hall '-P 4 2'
_cell_length_a 3.829
_cell_length_b 3.829
_cell_length_c 6.804
_cell_angle_alpha 90.00
_cell_angle_beta 90.00
_cell_angle_gamma 90.00
loop_
_atom_site_label
_atom_site_fract_x
_atom_site_fract_y
_atom_site_fract_z
Ba1 0.000 0.000 0.000
Mo1 0.500 0.500 0.342
Cl1 0.000 0.000 0.500
```

b.
# BaMo2Cl

BaMo2Cl after structural relaxation (PBE-GGA, Alexandria via LeMat-Bulk).

The structure in CIF format:
```
data_BaMo2Cl
_symmetry_space_group_name_H-M 'P 1 m 1'
_symmetry_Int_Tables_number 6
_cell_length_a 3.427
_cell_length_b 3.309
_cell_length_c 8.336
_cell_angle_alpha 90.00
_cell_angle_beta 99.48
_cell_angle_gamma 90.00
loop_
_symmetry_equiv_pos_as_xyz
'x,y,z'
'x,-y,z'
loop_
_atom_site_label
_atom_site_fract_x
_atom_site_fract_y
_atom_site_fract_z
Ba1 0.000 0.000 0.000
Mo1 0.261 0.000 0.457
Mo2 0.650 0.500 0.319
Cl1 0.390 0.500 0.730
```

Verdict on stability: a comes out at the bottom.

a.
# BaMo2Cl

BaMo2Cl after structural relaxation (PBE-GGA, Alexandria via LeMat-Bulk).

The structure in CIF format:
```
data_BaMo2Cl
_symmetry_space_group_name_H-M 'C m m m'
_symmetry_Int_Tables_number 65
_symmetry_space_group_name_Hall '-C 2 2'
_cell_length_a 5.386
_cell_length_b 12.757
_cell_length_c 3.001
_cell_angle_alpha 90.00
_cell_angle_beta 90.00
_cell_angle_gamma 90.00
loop_
_atom_site_label
_atom_site_fract_x
_atom_site_fract_y
_atom_site_fract_z
Ba1 0.000 0.000 0.000
Mo1 0.250 0.250 0.500
Cl1 0.000 0.500 0.000
```

b.
# BaMo2Cl

BaMo2Cl after structural relaxation (PBE-GGA, Alexandria via LeMat-Bulk).

The structure in CIF format:
```
data_BaMo2Cl
_symmetry_space_group_name_H-M 'R -3 m'
_symmetry_Int_Tables_number 166
_symmetry_space_group_name_Hall '-R 3 2"'
_cell_length_a 3.0398
_cell_length_b 3.0398
_cell_length_c 30.8486
_cell_angle_alpha 90.00
_cell_angle_beta 90.00
_cell_angle_gamma 120.00
loop_
_atom_site_label
_atom_site_fract_x
_atom_site_fract_y
_atom_site_fract_z
Ba1 0.0000 0.0000 0.0000
Mo1 0.0000 0.0000 0.2320
Cl1 0.0000 0.0000 0.5000
```

c.
# BaMo2Cl

BaMo2Cl after structural relaxation (PBE-GGA, Alexandria via LeMat-Bulk).

The structure in CIF format:
```
data_BaMo2Cl
_symmetry_space_group_name_H-M 'P 1 2/m 1'
_symmetry_Int_Tables_number 10
_cell_length_a 3.391
_cell_length_b 6.820
_cell_length_c 4.871
_cell_angle_alpha 90.00
_cell_angle_beta 90.13
_cell_angle_gamma 90.00
loop_
_symmetry_equiv_pos_as_xyz
'x,y,z'
'-x,-y,-z'
'-x,y,-z'
'x,-y,z'
loop_
_atom_site_label
_atom_site_fract_x
_atom_site_fract_y
_atom_site_fract_z
Ba1 0.000 0.000 0.000
Mo1 0.260 0.500 0.168
Cl1 0.500 0.000 0.500
```

Verdict on stability: b comes out at the bottom.

a.
# Ba2MoCl

Ba2MoCl after structural relaxation (PBE-GGA, Alexandria via LeMat-Bulk).

The structure in CIF format:
```
data_Ba2MoCl
_symmetry_space_group_name_H-M 'P m m m'
_symmetry_Int_Tables_number 47
_cell_length_a 3.949
_cell_length_b 5.343
_cell_length_c 6.444
_cell_angle_alpha 90.00
_cell_angle_beta 90.00
_cell_angle_gamma 90.00
loop_
_symmetry_equiv_pos_as_xyz
'x,y,z'
'-x,-y,-z'
'-x,-y,z'
'x,y,-z'
'x,-y,-z'
'-x,y,z'
'-x,y,-z'
'x,-y,z'
loop_
_atom_site_label
_atom_site_fract_x
_atom_site_fract_y
_atom_site_fract_z
Ba1 0.000 0.000 0.000
Ba2 0.500 0.500 0.500
Mo1 0.000 0.000 0.500
Cl1 0.500 0.500 0.000
```

b.
# Ba2MoCl

Ba2MoCl after structural relaxation (PBE-GGA, Alexandria via LeMat-Bulk).

The structure in CIF format:
```
data_Ba2MoCl
_symmetry_space_group_name_H-M 'F -4 3 m'
_symmetry_Int_Tables_number 216
_symmetry_space_group_name_Hall 'F -4 2 3'
_cell_length_a 8.067
_cell_length_b 8.067
_cell_length_c 8.067
_cell_angle_alpha 90.00
_cell_angle_beta 90.00
_cell_angle_gamma 90.00
loop_
_atom_site_label
_atom_site_fract_x
_atom_site_fract_y
_atom_site_fract_z
Ba1 0.000 0.000 0.000
Ba2 0.250 0.250 0.250
Mo1 0.250 0.250 0.750
Cl1 0.000 0.000 0.500
```

c.
# Ba2MoCl

Ba2MoCl after structural relaxation (PBE-GGA, Alexandria via LeMat-Bulk).

The structure in CIF format:
```
data_Ba2MoCl
_symmetry_space_group_name_H-M 'R -3 m'
_symmetry_Int_Tables_number 166
_symmetry_space_group_name_Hall '-R 3 2"'
_cell_length_a 4.2674
_cell_length_b 4.2674
_cell_length_c 27.3160
_cell_angle_alpha 90.00
_cell_angle_beta 90.00
_cell_angle_gamma 120.00
loop_
_atom_site_label
_atom_site_fract_x
_atom_site_fract_y
_atom_site_fract_z
Ba1 0.0000 0.0000 0.2495
Mo1 0.0000 0.0000 0.5000
Cl1 0.0000 0.0000 0.0000
```

d.
# Ba2MoCl

Ba2MoCl after structural relaxation (PBE-GGA, Alexandria via LeMat-Bulk).

The structure in CIF format:
```
data_Ba2MoCl
_symmetry_space_group_name_H-M 'C 1 m 1'
_symmetry_Int_Tables_number 8
_cell_length_a 12.406
_cell_length_b 3.770
_cell_length_c 5.532
_cell_angle_alpha 90.00
_cell_angle_beta 90.04
_cell_angle_gamma 90.00
loop_
_symmetry_equiv_pos_as_xyz
'x,y,z'
'x,-y,z'
'x+1/2,y+1/2,z'
'x+1/2,-y+1/2,z'
loop_
_atom_site_label
_atom_site_fract_x
_atom_site_fract_y
_atom_site_fract_z
Ba1 0.000 0.000 0.000
Ba2 0.240 0.500 0.501
Mo1 0.487 0.000 0.500
Cl1 0.257 0.000 0.001
```

Verdict on stability: b comes out at the bottom.

a.
# Ba2MoCl

Ba2MoCl after structural relaxation (PBE-GGA, Alexandria via LeMat-Bulk).

The structure in CIF format:
```
data_Ba2MoCl
_symmetry_space_group_name_H-M 'F m -3 m'
_symmetry_Int_Tables_number 225
_symmetry_space_group_name_Hall '-F 4 2 3'
_cell_length_a 8.211
_cell_length_b 8.211
_cell_length_c 8.211
_cell_angle_alpha 90.00
_cell_angle_beta 90.00
_cell_angle_gamma 90.00
loop_
_atom_site_label
_atom_site_fract_x
_atom_site_fract_y
_atom_site_fract_z
Ba1 0.250 0.250 0.250
Mo1 0.000 0.000 0.000
Cl1 0.000 0.000 0.500
```

b.
# Ba2MoCl

Ba2MoCl after structural relaxation (PBE-GGA, Alexandria via LeMat-Bulk).

The structure in CIF format:
```
data_Ba2MoCl
_symmetry_space_group_name_H-M 'I m m 2'
_symmetry_Int_Tables_number 44
_cell_length_a 3.865
_cell_length_b 4.001
_cell_length_c 18.084
_cell_angle_alpha 90.00
_cell_angle_beta 90.00
_cell_angle_gamma 90.00
loop_
_symmetry_equiv_pos_as_xyz
'x,y,z'
'-x,-y,z'
'-x,y,z'
'x,-y,z'
'x+1/2,y+1/2,z+1/2'
'-x+1/2,-y+1/2,z+1/2'
'-x+1/2,y+1/2,z+1/2'
'x+1/2,-y+1/2,z+1/2'
loop_
_atom_site_label
_atom_site_fract_x
_atom_site_fract_y
_atom_site_fract_z
Ba1 0.000 0.000 0.000
Ba2 0.000 0.500 0.256
Mo1 0.000 0.500 0.861
Cl1 0.000 0.000 0.600
```

Verdict on stability: a comes out at the bottom.

a.
# Ba2MoCl

Ba2MoCl after structural relaxation (PBE-GGA, Alexandria via LeMat-Bulk).

The structure in CIF format:
```
data_Ba2MoCl
_symmetry_space_group_name_H-M 'I m m m'
_symmetry_Int_Tables_number 71
_symmetry_space_group_name_Hall '-I 2 2'
_cell_length_a 4.810
_cell_length_b 6.967
_cell_length_c 9.104
_cell_angle_alpha 90.00
_cell_angle_beta 90.00
_cell_angle_gamma 90.00
loop_
_atom_site_label
_atom_site_fract_x
_atom_site_fract_y
_atom_site_fract_z
Ba1 0.000 0.000 0.230
Mo1 0.000 0.500 0.000
Cl1 0.000 0.500 0.500
```

b.
# Ba2MoCl

Ba2MoCl after structural relaxation (PBE-GGA, Alexandria via LeMat-Bulk).

The structure in CIF format:
```
data_Ba2MoCl
_symmetry_space_group_name_H-M 'I -4 2 d'
_symmetry_Int_Tables_number 122
_symmetry_space_group_name_Hall 'I -4 2bw'
_cell_length_a 8.512
_cell_length_b 8.512
_cell_length_c 9.018
_cell_angle_alpha 90.00
_cell_angle_beta 90.00
_cell_angle_gamma 90.00
loop_
_atom_site_label
_atom_site_fract_x
_atom_site_fract_y
_atom_site_fract_z
Ba1 0.232 0.250 0.125
Mo1 0.000 0.000 0.500
Cl1 0.000 0.000 0.000
```

Verdict on stability: a comes out at the bottom.